BaCd2As: PBEsol geometry, SCAN.

Results
Energy of formation ... -0.34 eV/atom
Calculated volume ... 26.30 Å³ per atom

Cell: 3.5378 4.0816 7.2844 Å, 90.00 90.00 90.00°
Element x y z (fractional)
1 As 0.0000 0.0000 0.4544
2 Ba 0.5000 0.5000 0.7287
3 Cd 0.0000 0.0000 0.0633
4 Cd 0.5000 0.5000 0.2535